SrCe2In3: relaxed, PBE-GGA.

Geometry as POSCAR:
```
SrCe2In3
1.0
-3.7601 -0.6040 0.7423
-0.2935 -2.1367 -3.2253
2.8440 -9.9340 6.3221
Ce In Sr
2 3 1
direct
0.5000 0.5000 0.1602
0.5000 0.5000 0.8398
0.0000 0.0000 0.6808
0.0000 0.0000 0.3192
0.0000 0.0000 0.0000
0.5000 0.5000 0.5000
```

## Properties
V in Å³/atom: 30.39
Raw total energy in eV per atom: -3.965
Density in g cm⁻³: 6.5

---

SrCeIn6: relaxed, PBE-GGA.

Geometry as POSCAR:
```
SrCeIn6
1.0
4.7778 0.0000 0.0000
0.0000 4.7778 0.0000
0.0000 0.0000 9.5824
In Sr Ce
6 1 1
direct
0.5000 0.0000 0.7438
0.5000 0.5000 0.0000
0.5000 0.0000 0.2562
0.0000 0.5000 0.7438
0.5000 0.5000 0.5000
0.0000 0.5000 0.2562
0.0000 0.0000 0.0000
0.0000 0.0000 0.5000
```

## Properties
V in Å³/atom: 27.34
Raw total energy in eV per atom: -3.355
Density in g cm⁻³: 7.0

---

SrCeIn: relaxed, PBE-GGA.

Geometry as POSCAR:
```
SrCeIn
1.0
3.7491 0.0000 0.0000
0.0000 5.5233 0.0000
0.0000 -2.7616 4.7833
In Sr Ce
1 1 1
direct
0.0325 0.0000 0.0000
0.6852 0.3333 0.6667
0.2823 0.6667 0.3333
```

## Properties
V in Å³/atom: 33.02
Raw total energy in eV per atom: -3.471
Density in g cm⁻³: 5.7

---

SrCeIn: relaxed, PBE-GGA.

Geometry as POSCAR:
```
SrCeIn
1.0
-2.0543 -3.2004 -1.2699
1.7338 -2.1824 2.6937
-9.2733 2.5162 8.6324
In Sr Ce
2 2 2
direct
0.8728 0.2388 0.5562
0.3719 0.8434 0.9561
0.8718 0.3088 0.1229
0.3732 0.7735 0.3894
0.3726 0.7101 0.7009
0.8723 0.3721 0.8114
```

## Properties
V in Å³/atom: 33.44
Raw total energy in eV per atom: -3.741
Density in g cm⁻³: 5.7

---

SrCe2In9: relaxed, PBE-GGA.

Geometry as POSCAR:
```
SrCe2In9
1.0
-1.4420 -4.1022 -1.9302
2.9069 -2.3909 2.9098
-10.4397 -0.8924 9.6960
In Ce Sr
9 2 1
direct
0.0000 0.5000 0.8274
0.5000 0.0000 0.1726
0.0000 0.5000 0.5000
0.5000 0.0000 0.8274
0.5000 0.5000 0.0000
0.5000 0.0000 0.5000
0.5000 0.5000 0.6639
0.5000 0.5000 0.3361
0.0000 0.5000 0.1726
0.0000 0.0000 0.6625
0.0000 0.0000 0.3375
0.0000 0.0000 0.0000
```

## Properties
V in Å³/atom: 26.93
Raw total energy in eV per atom: -3.551
Density in g cm⁻³: 7.2

---

SrCeZnIn: relaxed, PBE-GGA.

Geometry as POSCAR:
```
SrCeZnIn
1.0
-2.1389 4.3622 2.5703
0.7915 0.6704 5.3976
3.2941 4.0068 1.8178
In Sr Zn Ce
1 1 1 1
direct
0.0000 0.0000 0.0000
0.2500 0.2500 0.2500
0.5000 0.5000 0.5000
0.7500 0.7500 0.7500
```

## Properties
V in Å³/atom: 29.35
Raw total energy in eV per atom: -3.127
Density in g cm⁻³: 5.8

---

Ce2TaIn: relaxed, PBE-GGA.

Geometry as POSCAR:
```
Ce2TaIn
1.0
-0.7298 -1.3323 -2.6805
1.7008 -2.3338 -1.0738
-6.4704 -8.7449 4.3375
Ce Ta In
2 1 1
direct
0.9176 0.9176 0.2471
0.0824 0.0824 0.7529
0.0000 0.0000 0.0000
0.5000 0.5000 0.5000
```

## Properties
V in Å³/atom: 23.79
Raw total energy in eV per atom: -6.329
Density in g cm⁻³: 10.1

---

TbCe2In4: relaxed, PBE-GGA.

Geometry as POSCAR:
```
TbCe2In4
1.0
6.2527 0.0000 0.0000
0.0000 6.2135 0.0000
0.0000 -3.1068 5.7953
In Ce Tb
4 2 1
direct
0.5000 0.6180 0.2360
0.0000 0.1349 0.2697
0.5000 0.3820 0.7640
0.0000 0.8651 0.7303
0.5000 0.8809 0.7619
0.5000 0.1191 0.2381
0.0000 0.5000 0.0000
```

## Properties
V in Å³/atom: 32.17
Raw total energy in eV per atom: -3.783
Density in g cm⁻³: 6.6